Record 1
Below is a relaxed Ta4Nb2Sn crystal, with properties calculated at the PBE level.

The value obtained for the energy above the lowest structure with this stoichiometry is 0 meV/atom. For the density of states at the Fermi level, the calculation gives 0.9048 states/eV per atom. The formation energy is 129 kJ/mol of formula units.

```
Ta4Nb2Sn
1.0
1.805 -11.105 0.000
1.805 11.105 0.000
0.000 0.000 3.345
Ta Nb Sn
4 2 1
direct
0.072 0.928 0.000
0.360 0.640 0.500
0.640 0.360 0.500
0.928 0.072 0.000
0.205 0.795 0.000
0.795 0.205 0.000
0.500 0.500 0.500
```

***

Record 2
Below is a relaxed TaNb3Sn crystal, with properties calculated at the PBE level.

The value obtained for the energy above the lowest structure with this stoichiometry is 1234 meV/atom. For the density of states at the Fermi level, the calculation gives 0.6105 states/eV per atom. The formation energy is 582 kJ/mol of formula units.

```
TaNb3Sn
1.0
4.910 0.000 0.000
0.000 4.910 0.000
0.000 0.000 4.910
Ta Nb Sn
1 3 1
direct
0.000 0.000 0.000
0.000 0.000 0.500
0.000 0.500 0.000
0.500 0.000 0.000
0.500 0.500 0.500
```

***

Record 3
Below is a relaxed TaNb2Sn crystal, with properties calculated at the PBE level.

For the density of states at the Fermi level, the calculation gives 0.7177 states/eV per atom. The formation energy is -38 kJ/mol of formula units.

```
TaNb2Sn
1.0
4.520 0.000 0.000
0.000 4.520 0.000
0.000 0.000 3.684
Ta Nb Sn
1 2 1
direct
0.000 0.000 0.000
0.000 0.500 0.500
0.500 0.000 0.500
0.500 0.500 0.000
```